(1)
A plane-wave DFT calculation with PBE was carried out for a relaxed structure of Dy2CuHg8.

Calculated values
DFT formation energy in eV/atom: -0.2130
Electronic total energy in eV/atom: -1.6416

Geometry as CIF:
```
data_Dy2CuHg8
_chemical_formula_sum 'Dy2 Cu1 Hg8'
_space_group_name_H-M_alt 'P 4/m m m'
_space_group_IT_number 123
_space_group_name_Hall '-P 4 2'
_cell_length_a 4.589
_cell_length_b 4.589
_cell_length_c 12.476
_cell_angle_alpha 90.00
_cell_angle_beta 90.00
_cell_angle_gamma 90.00
loop_
_atom_site_label
_atom_site_type_symbol
_atom_site_fract_x
_atom_site_fract_y
_atom_site_fract_z
Dy1 Dy 0.000 0.000 0.197
Cu1 Cu 0.000 0.000 0.500
Hg1 Hg 0.000 0.500 0.000
Hg2 Hg 0.000 0.500 0.375
Hg3 Hg 0.500 0.500 0.185
```

---

(2)
A plane-wave DFT calculation with PBE was carried out for a relaxed structure of LiAsPb2.

Calculated values
DFT formation energy in eV/atom: -0.0416
Electronic total energy in eV/atom: -3.5366

Geometry as CIF:
```
data_LiAsPb2
_chemical_formula_sum 'Li2 As2 Pb4'
_space_group_name_H-M_alt 'I 4/m m m'
_space_group_IT_number 139
_space_group_name_Hall '-I 4 2'
_cell_length_a 4.635
_cell_length_b 4.635
_cell_length_c 9.407
_cell_angle_alpha 90.00
_cell_angle_beta 90.00
_cell_angle_gamma 90.00
loop_
_atom_site_label
_atom_site_type_symbol
_atom_site_fract_x
_atom_site_fract_y
_atom_site_fract_z
Li1 Li 0.000 0.000 0.000
As1 As 0.000 0.000 0.500
Pb1 Pb 0.000 0.500 0.250
```

---

(3)
A plane-wave DFT calculation with PBE was carried out for a relaxed structure of HfTeO3.

Calculated values
Electronic total energy in eV/atom: -7.4112
Raw formation energy in eV/f.u.: -9.1

Geometry as CIF:
```
data_HfTeO3
_chemical_formula_sum 'Hf1 Te1 O3'
_space_group_name_H-M_alt 'P m -3 m'
_space_group_IT_number 221
_space_group_name_Hall '-P 4 2 3'
_cell_length_a 4.115
_cell_length_b 4.115
_cell_length_c 4.115
_cell_angle_alpha 90.00
_cell_angle_beta 90.00
_cell_angle_gamma 90.00
loop_
_atom_site_label
_atom_site_type_symbol
_atom_site_fract_x
_atom_site_fract_y
_atom_site_fract_z
Hf1 Hf 0.000 0.000 0.000
Te1 Te 0.500 0.500 0.500
O1 O 0.000 0.000 0.500
```

---

(4)
A plane-wave DFT calculation with PBE was carried out for a relaxed structure of La2Zn3Ge4Rh.

Calculated values
DFT formation energy in eV/atom: -0.5530
Electronic total energy in eV/atom: -4.5027

Geometry as CIF:
```
data_La2Zn3Ge4Rh
_chemical_formula_sum 'La2 Zn3 Ge4 Rh1'
_space_group_name_H-M_alt 'P -4 m 2'
_space_group_IT_number 115
_space_group_name_Hall 'P -4 -2'
_cell_length_a 4.360
_cell_length_b 4.360
_cell_length_c 10.395
_cell_angle_alpha 90.00
_cell_angle_beta 90.00
_cell_angle_gamma 90.00
loop_
_atom_site_label
_atom_site_type_symbol
_atom_site_fract_x
_atom_site_fract_y
_atom_site_fract_z
La1 La 0.000 0.500 0.244
Zn1 Zn 0.000 0.000 0.000
Zn2 Zn 0.000 0.500 0.635
Ge1 Ge 0.000 0.000 0.500
Ge2 Ge 0.000 0.500 0.874
Ge3 Ge 0.500 0.500 0.500
Rh1 Rh 0.500 0.500 0.000
```